Entry from Alexandria: Zr2RuBr after structural relaxation (PBE).

Properties
**Offset from the most stable computed form**: 0.2203 eV per atom
**SG**: No. 8

Lattice parameters (Å, degrees): 5.5160 5.5160 4.6167 96.28 96.28 33.92
Element x y z (fractional)
Ru (0.2724, 0.2724, 0.1595)
Br (0.4701, 0.4701, 0.5789)
Zr (0.0192, 0.0192, 0.0829)
Zr (0.7384, 0.7384, 0.6787)